VASP calculation (SCAN) on a PBEsol-optimized structure of NbB2PdPt.

Unit cell a=3.9451 b=3.9451 c=5.2839 alpha=90.00 beta=90.00 gamma=90.00
Sites, in units of the cell vectors:
Nb  0.0000  0.0000  0.0000
B  0.0000  0.5000  0.5000
B  0.5000  0.0000  0.5000
Pd  0.5000  0.5000  0.0000
Pt  0.0000  0.0000  0.5000

Properties
Formation energy from the elements: 71.0 kJ per mole of atoms

VASP calculation (SCAN) on a PBEsol-optimized structure of Nb2SiBPd.

Unit cell a=4.7303 b=4.7303 c=3.5856 alpha=90.00 beta=90.00 gamma=90.00
Sites, in units of the cell vectors:
Nb  0.0000  0.5000  0.0000
Nb  0.5000  0.0000  0.0000
Si  0.0000  0.0000  0.0000
B  0.0000  0.0000  0.5000
Pd  0.5000  0.5000  0.5000

Properties
Formation energy without anion corrections: 0.82 eV per atom

VASP calculation (SCAN) on a PBEsol-optimized structure of NbB2Pt.

Unit cell a=3.9873 b=3.9873 c=3.9873 alpha=60.00 beta=60.00 gamma=60.00
Sites, in units of the cell vectors:
Nb  0.0000  0.0000  0.0000
B  0.2500  0.2500  0.2500
B  0.7500  0.7500  0.7500
Pt  0.5000  0.5000  0.5000

Properties
Formation energy from the elements: 28.1 kJ per mole of atoms

VASP calculation (SCAN) on a PBEsol-optimized structure of NbB2Pt.

Unit cell a=7.7229 b=7.7229 c=7.7229 alpha=151.39 beta=151.39 gamma=40.91
Sites, in units of the cell vectors:
Nb  0.3750  0.6250  0.7500
Nb  0.6250  0.3750  0.2500
B  0.0000  0.0000  0.0000
B  0.0000  0.0000  0.5000
B  0.0000  0.5000  0.0000
B  0.5000  0.0000  0.5000
Pt  0.1250  0.8750  0.2500
Pt  0.8750  0.1250  0.7500

Properties
Formation energy from the elements: 18.5 kJ per mole of atoms

VASP calculation (SCAN) on a PBEsol-optimized structure of Nb2B2Rh.

Unit cell a=5.7668 b=5.7668 c=3.5427 alpha=90.00 beta=90.00 gamma=90.00
Sites, in units of the cell vectors:
Nb  0.1759  0.3241  0.0000
Nb  0.3241  0.8241  0.0000
Nb  0.6759  0.1759  0.0000
Nb  0.8241  0.6759  0.0000
B  0.1145  0.6145  0.5000
B  0.3855  0.1145  0.5000
B  0.6145  0.8855  0.5000
B  0.8855  0.3855  0.5000
Rh  0.0000  0.0000  0.5000
Rh  0.5000  0.5000  0.5000

Properties
Formation energy from the elements: -62.8 kJ per mole of atoms

VASP calculation (SCAN) on a PBEsol-optimized structure of NbSnBRh2.

Unit cell a=4.6804 b=4.6804 c=5.0976 alpha=90.00 beta=90.00 gamma=90.00
Sites, in units of the cell vectors:
Nb  0.0000  0.0000  0.0000
Sn  0.0000  0.0000  0.5000
B  0.5000  0.5000  0.0000
Rh  0.0000  0.5000  0.5000
Rh  0.5000  0.0000  0.5000

Properties
Formation energy from the elements: 217.5 kJ per mole of atoms

VASP calculation (SCAN) on a PBEsol-optimized structure of NbB3Ru.

Unit cell a=4.0233 b=4.0233 c=4.0233 alpha=90.00 beta=90.00 gamma=90.00
Sites, in units of the cell vectors:
Nb  0.0000  0.0000  0.0000
B  0.0000  0.0000  0.5000
B  0.0000  0.5000  0.0000
B  0.5000  0.0000  0.0000
Ru  0.5000  0.5000  0.5000

Properties
Formation energy from the elements: 181.5 kJ per mole of atoms

VASP calculation (SCAN) on a PBEsol-optimized structure of Nb2B2Ru.

Unit cell a=5.8426 b=5.8426 c=3.4454 alpha=90.00 beta=90.00 gamma=90.00
Sites, in units of the cell vectors:
Nb  0.1767  0.3233  0.0000
Nb  0.3233  0.8233  0.0000
Nb  0.6767  0.1767  0.0000
Nb  0.8233  0.6767  0.0000
B  0.1139  0.6139  0.5000
B  0.3861  0.1139  0.5000
B  0.6139  0.8861  0.5000
B  0.8861  0.3861  0.5000
Ru  0.0000  0.0000  0.5000
Ru  0.5000  0.5000  0.5000

Properties
Formation energy from the elements: -60.8 kJ per mole of atoms

Copy entry 5 word for word.
VASP calculation (SCAN) on a PBEsol-optimized structure of Nb2B2Rh.

Unit cell a=5.7668 b=5.7668 c=3.5427 alpha=90.00 beta=90.00 gamma=90.00
Sites, in units of the cell vectors:
Nb  0.1759  0.3241  0.0000
Nb  0.3241  0.8241  0.0000
Nb  0.6759  0.1759  0.0000
Nb  0.8241  0.6759  0.0000
B  0.1145  0.6145  0.5000
B  0.3855  0.1145  0.5000
B  0.6145  0.8855  0.5000
B  0.8855  0.3855  0.5000
Rh  0.0000  0.0000  0.5000
Rh  0.5000  0.5000  0.5000

Properties
Formation energy from the elements: -62.8 kJ per mole of atoms